Material: Cr2BiRuRh
Method: DFT, PBE
State: relaxed

Properties
E = -6.5980 eV per atom
Energy of formation = 1353 meV/atom

```
data_Cr2BiRuRh
_space_group_name_H-M_alt 'P 4/m m m'
_space_group_IT_number 123
_space_group_name_Hall '-P 4 2'
_cell_length_a 4.6943
_cell_length_b 4.6943
_cell_length_c 5.0416
_cell_angle_alpha 90.00
_cell_angle_beta 90.00
_cell_angle_gamma 90.00
loop_
_atom_site_label
_atom_site_type_symbol
_atom_site_fract_x
_atom_site_fract_y
_atom_site_fract_z
_atom_site_occupancy
Cr1 Cr 0.0000 0.5000 0.0000 1
Bi1 Bi 0.0000 0.0000 0.5000 1
Ru1 Ru 0.5000 0.5000 0.5000 1
Rh1 Rh 0.0000 0.0000 0.0000 1
```